# 1
A plane-wave DFT calculation with PBE-GGA was carried out for an optimized crystal structure of SmZrH4.

```
SmZrH4
1.0
-0.293 -2.192 2.707
-0.973 -2.557 -2.176
5.075 -1.420 -0.601
H Sm Zr
4 1 1
Cartesian
3.151 -2.291 -1.509
2.518 -4.666 -1.243
0.303 -4.046 -0.981
0.936 -1.672 -1.247
4.434 -3.788 -0.325
1.557 -3.260 -2.465
```

Properties
E (eV/atom): -5.05
SG: No. 123
Total magnetization (μB per cell): 0.0
Volume (A^3/atom): 10.8


# 2
A plane-wave DFT calculation with PBE-GGA was carried out for an optimized crystal structure of Sm2ZrH8.

```
Sm2ZrH8
1.0
3.585 0.000 -1.091
-0.701 4.053 -2.302
0.043 1.001 6.575
H Sm Zr
8 2 1
Cartesian
0.616 1.257 2.025
1.680 3.911 -0.916
1.247 1.143 4.098
3.090 4.109 3.719
0.889 3.213 2.923
2.311 3.798 1.157
-0.163 0.945 -0.537
2.038 1.841 0.260
0.150 3.047 0.493
2.777 2.008 2.690
1.792 0.000 -0.546
```

Properties
E (eV/atom): -4.57
SG: No. 71
Total magnetization (μB per cell): 0.0
Volume (A^3/atom): 9.5


# 3
A plane-wave DFT calculation with PBE-GGA was carried out for an optimized crystal structure of Sm3ZrH.

```
Sm3ZrH
1.0
4.964 0.000 0.000
0.000 4.964 0.000
0.000 0.000 4.964
Sm Zr H
3 1 1
Cartesian
0.000 0.000 2.482
0.000 2.482 0.000
2.482 0.000 0.000
2.482 2.482 2.482
0.000 0.000 0.000
```

Properties
E (eV/atom): -5.27
SG: No. 221
Total magnetization (μB per cell): 0.0
Volume (A^3/atom): 24.5


# 4
A plane-wave DFT calculation with PBE-GGA was carried out for an optimized crystal structure of Sm2ZrH.

```
Sm2ZrH
1.0
-0.144 1.599 -2.895
-2.618 -1.825 -0.878
-4.993 5.566 3.324
H Sm Zr
1 2 1
Cartesian
-1.381 -0.113 -1.886
-1.035 1.154 0.689
-3.958 4.412 2.635
-3.878 2.670 -0.224
```

Properties
ΔE to the lowest computed polymorph (meV per atom): 0
E (eV/atom): -5.23
SG: No. 123
Total magnetization (μB per cell): 0.0
Volume (A^3/atom): 22.4


# 5
A plane-wave DFT calculation with PBE-GGA was carried out for an optimized crystal structure of SmZrH.

```
SmZrH
1.0
-1.922 2.677 0.893
-1.200 -3.172 0.399
2.151 -0.168 5.136
H Zr Sm
1 1 1
Cartesian
-0.088 -1.328 3.792
-0.754 0.655 2.941
2.023 -0.158 4.829
```

Properties
ΔE to the lowest computed polymorph (meV per atom): 0
E (eV/atom): -5.65
SG: No. 156
Total magnetization (μB per cell): 0.0
Volume (A^3/atom): 18.7


# 6
A plane-wave DFT calculation with PBE-GGA was carried out for an optimized crystal structure of SmZr2H8.

```
SmZr2H8
1.0
3.124 0.000 -0.951
-0.851 4.922 -2.795
0.111 0.083 5.972
H Zr Sm
8 2 1
Cartesian
1.748 2.169 0.135
1.939 4.098 0.765
0.445 0.907 1.461
1.029 0.561 3.382
0.636 2.835 2.091
1.355 4.443 -1.156
2.633 3.566 3.043
-0.249 1.438 -0.817
0.009 3.347 0.030
2.375 1.658 2.196
1.562 0.000 -0.475
```

Properties
E (eV/atom): -4.84
SG: No. 71
Total magnetization (μB per cell): 0.0
Volume (A^3/atom): 8.5


# 7
A plane-wave DFT calculation with PBE-GGA was carried out for an optimized crystal structure of Sm2ZrH.

```
Sm2ZrH
1.0
3.332 0.000 0.000
1.666 2.886 0.000
1.666 0.962 9.365
Sm H Zr
2 1 1
Cartesian
1.666 0.962 6.184
4.998 2.886 3.181
3.332 1.924 4.682
0.000 0.000 0.000
```

Properties
ΔE to the lowest computed polymorph (meV per atom): 40
E (eV/atom): -5.19
SG: No. 166
Total magnetization (μB per cell): 0.0
Volume (A^3/atom): 22.5


# 8
A plane-wave DFT calculation with PBE-GGA was carried out for an optimized crystal structure of Sn4H.

```
Sn4H
1.0
4.844 0.000 0.000
0.000 4.844 0.000
0.000 0.000 4.844
Sn H
4 1
Cartesian
0.000 0.000 0.000
2.422 2.422 0.000
0.000 2.422 2.422
2.422 0.000 2.422
2.422 2.422 2.422
```

Properties
E (eV/atom): -3.63
SG: No. 221
Total magnetization (μB per cell): 0.0
Volume (A^3/atom): 22.7


# 9
A plane-wave DFT calculation with PBE-GGA was carried out for an optimized crystal structure of Sn8H.

```
Sn8H
1.0
-4.960 -4.903 2.134
7.062 -1.810 -0.207
0.522 1.502 4.663
Sn H
8 1
Cartesian
2.833 -4.044 3.525
3.537 -0.887 -0.047
5.073 -2.774 5.505
1.819 -0.654 2.637
5.300 -1.546 2.535
2.628 -5.191 6.557
1.592 -1.882 5.607
-0.696 -3.140 3.719
-0.346 -1.560 1.843
```

Properties
E (eV/atom): -3.73
SG: No. 164
Total magnetization (μB per cell): 0.0
Volume (A^3/atom): 25.2


# 10
A plane-wave DFT calculation with PBE-GGA was carried out for an optimized crystal structure of Sr2SnH.

```
Sr2SnH
1.0
6.294 0.000 0.000
0.000 6.751 0.112
0.000 -0.935 11.100
Sn Sr H
4 8 4
Cartesian
4.521 0.258 7.079
1.774 4.101 1.585
4.521 1.715 9.627
1.774 5.558 4.133
1.501 0.615 0.885
1.396 5.948 7.388
4.794 5.201 10.326
4.898 -0.132 3.824
1.501 2.293 4.720
4.794 3.523 6.491
1.396 2.776 9.430
4.898 3.040 1.782
0.975 3.453 7.058
5.319 2.363 4.154
5.319 0.545 1.452
0.975 5.271 9.760
```

Properties
ΔE to the lowest computed polymorph (meV per atom): 0
E (eV/atom): -3.16
SG: No. 13
Total magnetization (μB per cell): 0.0
Volume (A^3/atom): 29.5


# 11
A plane-wave DFT calculation with PBE-GGA was carried out for an optimized crystal structure of Sr4Sn2H.

```
Sr4Sn2H
1.0
-0.684 -1.079 6.544
7.341 0.167 0.795
0.040 9.978 -2.460
Sr Sn H
8 4 2
Cartesian
1.224 -0.285 5.908
5.463 3.641 0.249
1.233 5.425 4.630
3.313 2.275 3.183
-0.346 2.192 2.787
3.383 6.791 1.696
5.472 9.351 -1.029
7.042 6.874 2.092
4.979 5.077 4.422
5.058 -0.258 4.808
1.638 9.325 0.071
1.717 3.989 0.457
5.324 1.861 1.908
1.372 7.205 2.972
```

Properties
E (eV/atom): -3.14
SG: No. 11
Total magnetization (μB per cell): 0.0
Volume (A^3/atom): 33.3


# 12
A plane-wave DFT calculation with PBE-GGA was carried out for an optimized crystal structure of Sr8Sn2H.

```
Sr8Sn2H
1.0
-5.040 0.096 -0.090
-0.217 -5.879 5.872
2.527 7.613 7.793
Sn Sr H
2 8 1
Cartesian
-0.164 -1.850 7.186
-2.566 3.680 6.389
-0.101 2.839 8.654
-2.733 -4.076 7.456
-2.629 -1.009 4.921
-2.568 6.230 9.170
-0.163 -4.400 4.404
-0.042 2.195 4.681
-2.688 -0.365 8.894
0.003 5.906 6.118
-2.520 0.048 -0.045
```

Properties
E (eV/atom): -2.55
SG: No. 12
Total magnetization (μB per cell): 0.7
Volume (A^3/atom): 41.5


Repeat the twelfth record exactly.
A plane-wave DFT calculation with PBE-GGA was carried out for an optimized crystal structure of Sr8Sn2H.

```
Sr8Sn2H
1.0
-5.040 0.096 -0.090
-0.217 -5.879 5.872
2.527 7.613 7.793
Sn Sr H
2 8 1
Cartesian
-0.164 -1.850 7.186
-2.566 3.680 6.389
-0.101 2.839 8.654
-2.733 -4.076 7.456
-2.629 -1.009 4.921
-2.568 6.230 9.170
-0.163 -4.400 4.404
-0.042 2.195 4.681
-2.688 -0.365 8.894
0.003 5.906 6.118
-2.520 0.048 -0.045
```

Properties
E (eV/atom): -2.55
SG: No. 12
Total magnetization (μB per cell): 0.7
Volume (A^3/atom): 41.5